[1]
KFeSi | GGA-PBE | optimized geometry

**ΔE_f (raw)**: 446 meV per atom

Unit cell a=3.9518 b=3.9518 c=5.5062 alpha=90.00 beta=90.00 gamma=120.00
Space group P-6m2 (No. 187)
Symmetry-distinct sites (fractional):
K1 0.0000 0.0000 0.0000
Fe1 0.3333 0.6667 0.5000
Si1 0.6667 0.3333 0.5000

---

[2]
SrBeSb2 | GGA-PBE | optimized geometry

**ΔE_f (raw)**: 41 meV per atom

Unit cell a=4.885 b=6.119 c=6.993 alpha=90.00 beta=90.00 gamma=90.00
Space group Cmmm (No. 65)
Symmetry-distinct sites (fractional):
Sr1 0.000 0.000 0.000
Be1 0.000 0.000 0.500
Sb1 0.000 0.500 0.299

---

[3]
Sc3In3Hg | GGA-PBE | optimized geometry

**ΔE_f**: -0.346 eV/atom

Unit cell a=9.982 b=9.881 c=6.734 alpha=90.00 beta=90.01 gamma=90.00
Space group C2/m (No. 12)
Symmetry-distinct sites (fractional):
Sc1 0.000 0.000 0.248
Sc2 0.250 0.249 0.246
In1 0.000 0.276 0.500
In2 0.000 0.294 0.000
In3 0.220 0.500 0.499
Hg1 0.233 0.500 0.001

---

[4]
KYO3 | GGA-PBE | optimized geometry

**ΔE_f (raw)**: -466 meV per atom

Unit cell a=4.157 b=4.157 c=4.157 alpha=90.00 beta=90.00 gamma=90.00
Space group Pm-3m (No. 221)
Symmetry-distinct sites (fractional):
K1 0.000 0.000 0.000
Y1 0.500 0.500 0.500
O1 0.000 0.000 0.500

---

[5]
Sm2AlSi2Ir5 | GGA-PBE | optimized geometry

**ΔE_f (raw)**: -803 meV per atom

Unit cell a=9.779 b=9.779 c=3.522 alpha=90.00 beta=90.00 gamma=90.00
Space group P4/mbm (No. 127)
Symmetry-distinct sites (fractional):
Sm1 0.176 0.324 0.000
Al1 0.000 0.000 0.000
Si1 0.124 0.624 0.000
Ir1 0.000 0.500 0.500
Ir2 0.066 0.789 0.500

---

[6]
Mg2Zn | GGA-PBE | optimized geometry

**ΔE_f**: 0.013 eV/atom

Unit cell a=3.1477 b=3.1477 c=7.0999 alpha=90.00 beta=90.00 gamma=120.00
Space group P-3m1 (No. 164)
Symmetry-distinct sites (fractional):
Mg1 0.3333 0.6667 0.3151
Zn1 0.0000 0.0000 0.0000

---

[7]
BaLaN2 | GGA-PBE | optimized geometry

**ΔE_f (raw)**: -590 meV per atom

Unit cell a=6.571 b=6.571 c=8.623 alpha=90.00 beta=90.00 gamma=90.00
Space group I-42d (No. 122)
Symmetry-distinct sites (fractional):
Ba1 0.000 0.000 0.000
La1 0.000 0.000 0.500
N1 0.203 0.250 0.625

---

[8]
ZnCd12Hg7 | GGA-PBE | optimized geometry

**ΔE_f**: 0.036 eV/atom

Unit cell a=11.4134 b=11.4134 c=12.6684 alpha=90.00 beta=90.00 gamma=120.00
Space group R-3m (No. 166, hexagonal axes)
Symmetry-distinct sites (fractional):
Zn1 0.0000 0.0000 0.0000
Cd1 0.0000 0.2616 0.0000
Cd2 0.0318 0.5159 0.1240
Hg1 0.0000 0.0000 0.5000
Hg2 0.0886 0.1773 0.7699

---

What did we get for total DFT energy (no corrections)? Answer: -4.549; -3.372; -4.277; -4.953; -7.637; -1.475; -6.466; -0.682 eV/atom, in the order shown.